Below is PmHfFe2O6 after structural relaxation, with properties calculated at the PBE with a Hubbard U level.

a = 5.3694 Å, b = 5.3790 Å, c = 5.7136 Å
α = 62.06°, β = 89.32°, γ = 60.08°
Closest atoms and distances in Å follow each position.
Fractional positions:
1 Pm 0.0000 0.0000 0.0000  6 O 2.28-2.54
2 Hf 0.5237 0.9553 0.5584  6 O 2.07-2.15
3 Fe 0.2191 0.5665 0.6428  6 O 1.95-2.05
4 Fe 0.7328 0.5334 0.1872  5 O 2.04-2.26
5 O 0.1327 0.0317 0.3939  2 Fe 2.01-2.14, 1 Hf 2.07
6 O 0.3647 0.0828 0.8546  1 Fe 1.97, 1 Hf 2.13
7 O 0.4454 0.4333 0.3865  2 Fe 2.04-2.05, 1 Hf 2.08
8 O 0.5531 0.5028 0.8519  1 Fe 1.95, 1 Hf 2.14
9 O 0.8413 0.7278 0.3919  2 Fe 2.02-2.14, 1 Hf 2.07
10 O 0.9379 0.6868 0.8648  2 Fe 2.01-2.17, 1 Hf 2.15

Results
Mass density (g cm⁻³): 7.29
Final energy (hartree per atom): -0.292
SG: P1 (1)